Entry 1:
Crystalline Pm2AlCd at its relaxed geometry. Source: Alexandria, functional GGA-PBEsol.

a b c (Å): 5.2539 5.2539 5.2539
angles (deg): 60.00 60.00 60.00
With the nearest neighbours (Å) after each atom.
Positions (direct):
Cd 0.5000 0.5000 0.5000  8 Pm 3.22
Al 0.0000 0.0000 0.0000  8 Pm 3.22
Pm 0.2500 0.2500 0.2500  4 Cd 3.22, 4 Al 3.22
Pm 0.7500 0.7500 0.7500  4 Al 3.22, 4 Cd 3.22

Output
Space group: Fm-3m, No. 225
VASP energy (eV per cell): -16.942
Formation enthalpy at 0 K (eV/atom): -0.345

=====

Entry 2:
Crystalline AlHgOs2 at its relaxed geometry. Source: Alexandria, functional GGA-PBEsol.

a b c (Å): 2.8792 4.7750 4.7588
angles (deg): 100.01 90.00 107.55
With the nearest neighbours (Å) after each atom.
Positions (direct):
Os 0.0104 0.0209 0.0358  5 Os 2.64-2.88, 4 Al 2.64-2.93, 3 Hg 2.81-2.91
Os 0.7501 0.5002 0.2331  5 Os 2.64-2.88, 3 Al 2.71-2.87, 4 Hg 2.76-2.80
Hg 0.2500 0.5000 0.7384  3 Al 2.66-2.84, 7 Os 2.76-2.91, 2 Hg 2.88
Al 0.4894 0.9789 0.4927  7 Os 2.64-2.93, 3 Hg 2.66-2.84, 2 Al 2.88

Output
Space group: Cm, No. 8
Relative energy among the computed polymorphs (meV per atom): 0.0
VASP energy (eV per cell): -27.533
Formation enthalpy at 0 K (eV/atom): 0.389

=====

Entry 3:
Crystalline TaSn2BIr at its relaxed geometry. Source: Alexandria, functional GGA-PBEsol.

a b c (Å): 4.0989 5.2238 5.2238
angles (deg): 90.00 90.00 90.00
With the nearest neighbours (Å) after each atom.
Positions (direct):
B 0.5000 0.0000 0.0000  2 Ta 2.05
Ir 0.5000 0.5000 0.5000  8 Sn 3.32, 4 B 3.69
Sn 0.0000 0.0000 0.5000  2 Ta 2.61
Sn 0.0000 0.5000 0.0000  2 Ta 2.61
Ta 0.0000 0.0000 0.0000  2 B 2.05

Output
Space group: P4/mmm, No. 123
VASP energy (eV per cell): -29.750
Formation enthalpy at 0 K (eV/atom): 1.632

=====

Entry 4:
Crystalline ZnIn3Os at its relaxed geometry. Source: Alexandria, functional GGA-PBEsol.

a b c (Å): 4.8835 4.8835 4.8835
angles (deg): 90.00 90.00 90.00
With the nearest neighbours (Å) after each atom.
Positions (direct):
Zn 0.0000 0.0000 0.0000  6 In 2.44
Os 0.5000 0.5000 0.5000  12 In 3.45
In 0.0000 0.5000 0.0000  2 Zn 2.44
In 0.0000 0.0000 0.5000  2 Zn 2.44
In 0.5000 0.0000 0.0000  2 Zn 2.44

Output
Space group: Pm-3m, No. 221
VASP energy (eV per cell): -16.079
Formation enthalpy at 0 K (eV/atom): 1.334

=====

Entry 5:
Crystalline Sr3CaPb at its relaxed geometry. Source: Alexandria, functional GGA-PBEsol.

a b c (Å): 6.2663 6.2663 6.2663
angles (deg): 90.00 90.00 90.00
With the nearest neighbours (Å) after each atom.
Positions (direct):
Pb 0.5000 0.5000 0.5000  12 Sr 4.43
Sr 0.0000 0.5000 0.0000  2 Ca 3.13
Sr 0.0000 0.0000 0.5000  2 Ca 3.13
Sr 0.5000 0.0000 0.0000  2 Ca 3.13
Ca 0.0000 0.0000 0.0000  6 Sr 3.13

Output
Space group: Pm-3m, No. 221
VASP energy (eV per cell): -8.257
Formation enthalpy at 0 K (eV/atom): 0.679

=====

Entry 6:
Crystalline TmB2C at its relaxed geometry. Source: Alexandria, functional GGA-PBEsol.

a b c (Å): 6.7250 6.7250 7.1675
angles (deg): 90.00 90.00 90.00
With the nearest neighbours (Å) after each atom.
Positions (direct):
Tm 0.3093 0.8093 0.7500  4 C 2.53-2.55, 10 B 2.57-2.72
Tm 0.1907 0.3093 0.2500  4 C 2.53-2.55, 10 B 2.57-2.72
Tm 0.8093 0.6907 0.2500  4 C 2.53-2.55, 10 B 2.57-2.72
Tm 0.6907 0.1907 0.7500  4 C 2.53-2.55, 10 B 2.57-2.72
Tm 0.6907 0.1907 0.2500  4 C 2.53-2.55, 10 B 2.57-2.72
Tm 0.8093 0.6907 0.7500  4 C 2.53-2.55, 10 B 2.57-2.72
Tm 0.1907 0.3093 0.7500  4 C 2.53-2.55, 10 B 2.57-2.72
Tm 0.3093 0.8093 0.2500  4 C 2.53-2.55, 10 B 2.57-2.72
B 0.1519 0.0340 0.0000  2 C 1.61-1.62, 1 B 1.74
B 0.5340 0.6519 0.5000  2 C 1.61-1.62, 1 B 1.74
B 0.8481 0.9660 0.0000  2 C 1.61-1.62, 1 B 1.74
B 0.3481 0.5340 0.0000  2 C 1.61-1.62, 1 B 1.74
B 0.6519 0.4660 0.0000  2 C 1.61-1.62, 1 B 1.74
B 0.0340 0.8481 0.5000  2 C 1.61-1.62, 1 B 1.74
B 0.9660 0.1519 0.5000  2 C 1.61-1.62, 1 B 1.74
B 0.4660 0.3481 0.5000  2 C 1.61-1.62, 1 B 1.74
B 0.0968 0.5933 0.0000  1 C 1.58, 1 B 1.74
B 0.4067 0.0968 0.5000  1 C 1.58, 1 B 1.74
B 0.5933 0.9032 0.5000  1 C 1.58, 1 B 1.74
B 0.5968 0.9067 0.0000  1 C 1.58, 1 B 1.74
B 0.4032 0.0933 0.0000  1 C 1.58, 1 B 1.74
B 0.9032 0.4067 0.0000  1 C 1.58, 1 B 1.74
B 0.0933 0.5968 0.5000  1 C 1.58, 1 B 1.74
B 0.9067 0.4032 0.5000  1 C 1.58, 1 B 1.74
C 0.1782 0.0405 0.5000  3 B 1.58-1.62
C 0.6782 0.4595 0.5000  3 B 1.58-1.62
C 0.3218 0.5405 0.5000  3 B 1.58-1.62
C 0.9595 0.1782 0.0000  3 B 1.58-1.62
C 0.0405 0.8218 0.0000  3 B 1.58-1.62
C 0.5405 0.6782 0.0000  3 B 1.58-1.62
C 0.8218 0.9595 0.5000  3 B 1.58-1.62
C 0.4595 0.3218 0.0000  3 B 1.58-1.62

Output
Space group: P4_2/mbc, No. 135
VASP energy (eV per cell): -248.644
Formation enthalpy at 0 K (eV/atom): -0.626

=====

Entry 7:
Crystalline SrCa2Re at its relaxed geometry. Source: Alexandria, functional GGA-PBEsol.

a b c (Å): 4.9401 4.9510 5.5893
angles (deg): 116.29 116.23 90.00
With the nearest neighbours (Å) after each atom.
Positions (direct):
Re 0.4998 0.4998 0.9995  8 Ca 3.29-3.50, 4 Sr 3.29-3.30
Ca 0.0001 0.0001 0.0003  4 Sr 3.30, 4 Ca 3.30, 4 Re 3.50
Ca 0.7504 0.2504 0.5009  4 Re 3.29-3.30, 4 Ca 3.30, 4 Sr 3.50
Sr 0.2497 0.7497 0.4993  4 Re 3.29-3.30, 8 Ca 3.30-3.50

Output
Space group: Imm2, No. 44
Relative energy among the computed polymorphs (meV per atom): 13.4
VASP energy (eV per cell): -16.015
Formation enthalpy at 0 K (eV/atom): 0.856

=====

Entry 8:
Crystalline Li2ZrCl at its relaxed geometry. Source: Alexandria, functional GGA-PBEsol.

a b c (Å): 3.1092 3.2008 7.1157
angles (deg): 90.00 102.62 90.00
With the nearest neighbours (Å) after each atom.
Positions (direct):
Cl 0.5264 0.5000 0.0527  4 Li 2.42, 2 Zr 2.69
Li 0.9584 0.0000 0.9168  4 Cl 2.42
Li 0.3296 0.5000 0.6592  1 Cl 2.73, 4 Li 2.86, 4 Zr 3.03
Zr 0.6821 0.0000 0.3641  2 Cl 2.69

Output
Space group: Amm2, No. 38
Relative energy among the computed polymorphs (meV per atom): 0.0
VASP energy (eV per cell): -16.904
Formation energy (no corrections) (eV/atom): -0.4683

=====

Entry 9:
Crystalline Ag2H2Pb at its relaxed geometry. Source: Alexandria, functional GGA-PBEsol.

a b c (Å): 3.4288 3.4288 6.5426
angles (deg): 105.19 105.19 90.00
With the nearest neighbours (Å) after each atom.
Positions (direct):
Pb 0.0000 0.0000 0.0000  8 Ag 3.21, 4 Pb 3.43, 8 H 3.49
H 0.2500 0.7500 0.5000  4 Ag 1.95
H 0.7500 0.2500 0.5000  4 Ag 1.95
Ag 0.3270 0.3270 0.6539  4 H 1.95
Ag 0.6730 0.6730 0.3461  4 H 1.95

Output
Space group: I4/mmm, No. 139
VASP energy (eV per cell): -15.719

=====

Entry 10:
Crystalline TcNiAs2Se at its relaxed geometry. Source: Alexandria, functional GGA-PBEsol.

a b c (Å): 4.4169 4.4169 4.6361
angles (deg): 90.00 90.00 90.00
With the nearest neighbours (Å) after each atom.
Positions (direct):
Ni 0.0000 0.0000 0.0000  4 As 2.21, 2 Se 2.32
As 0.0000 0.5000 0.0000  2 Ni 2.21
As 0.5000 0.0000 0.0000  2 Ni 2.21
Tc 0.5000 0.5000 0.5000  4 Se 3.12, 8 As 3.20
Se 0.0000 0.0000 0.5000  2 Ni 2.32

Output
Space group: P4/mmm, No. 123
VASP energy (eV per cell): -27.244
Formation energy (no corrections) (eV/atom): 0.8485

=====

Entry 11:
Crystalline MgWI2Br at its relaxed geometry. Source: Alexandria, functional GGA-PBEsol.

a b c (Å): 4.6589 6.6264 6.6264
angles (deg): 90.00 90.00 90.00
With the nearest neighbours (Å) after each atom.
Positions (direct):
I 0.0000 0.0000 0.5000  2 Br 3.31
I 0.0000 0.5000 0.0000  2 Br 3.31
Mg 0.5000 0.5000 0.5000  8 I 4.05
Br 0.0000 0.0000 0.0000  2 W 2.33
W 0.5000 0.0000 0.0000  2 Br 2.33

Output
Space group: P4/mmm, No. 123
VASP energy (eV per cell): -14.487
Formation energy (no corrections) (eV/atom): 1.2883

=====

Entry 12:
Crystalline KTaCd2 at its relaxed geometry. Source: Alexandria, functional GGA-PBEsol.

a b c (Å): 2.7946 5.6193 6.6576
angles (deg): 114.96 102.12 90.00
With the nearest neighbours (Å) after each atom.
Positions (direct):
Cd 0.0028 0.0028 0.0056  4 Cd 2.79-3.03, 2 Ta 2.89
Cd 0.2734 0.7734 0.5468  4 Cd 2.79-3.03
K 0.5058 0.5058 0.0116  2 K 2.79
Ta 0.7180 0.2180 0.4360  2 Ta 2.79, 2 Cd 2.89

Output
Space group: Imm2, No. 44
Relative energy among the computed polymorphs (meV per atom): 129.1
VASP energy (eV per cell): -13.541
Formation enthalpy at 0 K (eV/atom): 0.634

=====

Entry 13:
Crystalline InAgS2 at its relaxed geometry. Source: Alexandria, functional GGA-PBEsol.

a b c (Å): 6.6624 6.9813 8.1558
angles (deg): 90.00 90.00 90.00
With the nearest neighbours (Å) after each atom.
Positions (direct):
In 0.6147 0.0782 0.1261  4 S 2.47-2.48
In 0.1147 0.9218 0.8739  4 S 2.47-2.48
In 0.1147 0.4218 0.6261  4 S 2.47-2.48
In 0.6147 0.5782 0.3739  4 S 2.47-2.48
Ag 0.1194 0.9102 0.3755  4 S 2.50-2.52
Ag 0.6194 0.5898 0.8755  4 S 2.50-2.52
Ag 0.6194 0.0898 0.6245  4 S 2.50-2.52
Ag 0.1194 0.4102 0.1245  4 S 2.50-2.52
S 0.9867 0.5752 0.3747  2 In 2.47-2.48, 2 Ag 2.50
S 0.4867 0.4248 0.6253  2 In 2.47-2.48, 2 Ag 2.50
S 0.4867 0.9248 0.8747  2 In 2.47-2.48, 2 Ag 2.50
S 0.9867 0.0752 0.1253  2 In 2.47-2.48, 2 Ag 2.50
S 0.9941 0.5866 0.8757  2 In 2.47, 2 Ag 2.50-2.52
S 0.9941 0.0866 0.6243  2 In 2.47, 2 Ag 2.50-2.52
S 0.4941 0.9134 0.3757  2 In 2.47, 2 Ag 2.50-2.52
S 0.4941 0.4134 0.1243  2 In 2.47, 2 Ag 2.50-2.52

Output
Space group: Pna2_1, No. 33
VASP energy (eV per cell): -66.993
Formation energy (no corrections) (eV/atom): -0.4215

=====

Entry 14:
Crystalline LiTcAg at its relaxed geometry. Source: Alexandria, functional GGA-PBEsol.

a b c (Å): 4.0521 4.0521 4.0521
angles (deg): 60.00 60.00 60.00
With the nearest neighbours (Å) after each atom.
Positions (direct):
Ag 0.5000 0.5000 0.5000  4 Li 2.48
Li 0.2500 0.2500 0.2500  4 Tc 2.48, 4 Ag 2.48
Tc 0.0000 0.0000 0.0000  4 Li 2.48

Output
Space group: F-43m, No. 216
VASP energy (eV per cell): -12.904
Formation enthalpy at 0 K (eV/atom): 1.213

=====

| no. | calculated density (g/cm3) | V (Å³/cell) |
| --- | --- | --- |
| 1 | 6.95 | 102.5 |
| 2 | 16.46 | 61.3 |
| 3 | 9.23 | 111.9 |
| 4 | 8.56 | 116.5 |
| 5 | 3.44 | 246.1 |
| 6 | 8.30 | 324.2 |
| 7 | 5.51 | 106.6 |
| 8 | 3.38 | 69.1 |
| 9 | 9.88 | 71.4 |
| 10 | 7.08 | 90.4 |
| 11 | 4.40 | 204.6 |
| 12 | 8.01 | 92.2 |
| 13 | 5.02 | 379.3 |
| 14 | 7.51 | 47.0 |